Entry 1:
VASP calculation (GGA-PBE) on a relaxed structure of Pu2Ga3Cu4Sn.

The space-group type is P-4m2. The value obtained for the formation energy is -0.206 eV per atom. The total energy comes out at -60.2 eV for the cell shown. The total magnetization comes out at 11.499 Bohr magnetons per cell. Its density of states at the Fermi level is 26.77 states/eV/f.u.

Cell: 4.2101 4.2101 10.3996 Å, 90.00 90.00 90.00°
Atoms (fractional coordinates):
Pu 0.0000 0.5000 0.2345
Pu 0.5000 0.0000 0.7655
Ga 0.0000 0.5000 0.8754
Ga 0.5000 0.0000 0.1246
Ga 0.5000 0.5000 0.5000
Cu 0.0000 0.0000 0.0000
Cu 0.0000 0.5000 0.6457
Cu 0.5000 0.0000 0.3543
Cu 0.5000 0.5000 0.0000
Sn 0.0000 0.0000 0.5000



Entry 2:
VASP calculation (GGA-PBE) on a relaxed structure of NaSr2La3Te6.

The space-group type is C2/m. The total energy comes out at -57.1 eV for the cell shown. For the energy relative to the elements, uncorrected, the calculation gives -1.56 eV/atom. The total magnetization comes out at 0.000 Bohr magnetons per cell. Its density of states at the Fermi level is 4.30 states/eV/f.u.

Cell: 7.9793 7.9793 8.1368 Å, 99.41 99.41 120.00°
Atoms (fractional coordinates):
Na 0.0000 0.0000 0.0000
Sr 0.3337 0.6663 0.0000
Sr 0.6663 0.3337 0.0000
La 0.1673 0.8327 0.5000
La 0.5000 0.5000 0.5000
La 0.8327 0.1673 0.5000
Te 0.0847 0.4147 0.2545
Te 0.2449 0.2449 0.7451
Te 0.4147 0.0847 0.2545
Te 0.5853 0.9153 0.7455
Te 0.7551 0.7551 0.2549
Te 0.9153 0.5853 0.7455



Entry 3:
VASP calculation (GGA-PBE) on a relaxed structure of CuReTc2.

The space-group type is R3m. The value obtained for the formation energy is 0.145 eV per atom. The total energy comes out at -36.7 eV for the cell shown. The total magnetization comes out at 0.000 Bohr magnetons per cell. Its density of states at the Fermi level is 4.55 states/eV/f.u.

Cell: 8.9669 8.9669 8.9669 Å, 17.57 17.57 17.57°
Atoms (fractional coordinates):
Cu 0.0000 0.0000 0.0000
Re 0.8345 0.8345 0.8345
Tc 0.4171 0.4171 0.4171
Tc 0.5838 0.5838 0.5838